(1)
This record from Alexandria describes a relaxed structure of TlZnPO2. The functional is GGA-PBE.

Results
E above lowest polymorph   0 meV/atom
Raw formation energy   68.8 meV/atom

Cell and atoms, written as POSCAR:
```
TlZnPO2
1.0
-0.617 -1.144 3.681
3.840 0.144 0.688
-0.437 4.832 1.429
Zn Tl P O
1 1 1 2
Direct
0.000 0.000 0.000 Zn
0.500 0.500 0.500 Tl
0.000 0.000 0.500 P
0.000 0.500 0.000 O
0.500 0.000 0.000 O
```

(2)
This record from Alexandria describes a relaxed structure of SrCr2Ir. The functional is GGA-PBE.

Results
Formation enthalpy at 0 K   0.64 eV per atom
E above lowest polymorph   251 meV/atom

Cell and atoms, written as POSCAR:
```
SrCr2Ir
1.0
4.759 -0.002 0.000
-0.004 4.759 0.000
-2.377 -2.378 3.367
Ir Cr Sr
1 2 1
Direct
0.500 0.500 0.000 Ir
0.000 0.000 0.000 Cr
0.250 0.750 0.500 Cr
0.750 0.250 0.500 Sr
```

(3)
This record from Alexandria describes a relaxed structure of CdTe2IBr. The functional is GGA-PBE.

Results
E above lowest polymorph   0 meV/atom
Raw formation energy   401.4 meV/atom

Cell and atoms, written as POSCAR:
```
CdTe2IBr
1.0
-1.195 -5.621 0.174
2.915 -0.467 4.933
-4.824 1.117 2.956
Te Br I Cd
2 1 1 1
Direct
0.000 0.500 0.000 Te
0.500 0.000 0.000 Te
0.500 0.500 0.500 Br
0.000 0.000 0.500 I
0.000 0.000 0.000 Cd
```

(4)
This record from Alexandria describes a relaxed structure of LaHg2. The functional is GGA-PBE.

Results
Formation enthalpy at 0 K   -0.33 eV per atom

Cell and atoms, written as POSCAR:
```
LaHg2
1.0
-2.207 2.207 9.095
2.207 -2.207 9.095
2.207 2.207 -9.095
Hg La
4 2
Direct
0.422 0.422 0.000 Hg
0.172 0.672 0.500 Hg
0.578 0.578 0.000 Hg
0.328 0.828 0.500 Hg
0.000 0.000 0.000 La
0.750 0.250 0.500 La
```

(5)
This record from Alexandria describes a relaxed structure of Li2AcTb2Si2. The functional is GGA-PBE.

Results
Raw formation energy   -385.8 meV/atom

Cell and atoms, written as POSCAR:
```
Li2AcTb2Si2
1.0
4.568 0.000 0.000
2.284 3.956 0.000
2.284 1.319 9.221
Ac Li Si Tb
1 2 2 2
Direct
0.000 0.000 0.000 Ac
0.586 0.586 0.243 Li
0.414 0.414 0.757 Li
0.747 0.747 0.758 Si
0.253 0.253 0.242 Si
0.869 0.869 0.392 Tb
0.131 0.131 0.608 Tb
```

(6)
This record from Alexandria describes a relaxed structure of KTl2Os. The functional is GGA-PBE.

Results
Formation enthalpy at 0 K   0.76 eV per atom
E above lowest polymorph   214 meV/atom

Cell and atoms, written as POSCAR:
```
KTl2Os
1.0
-6.200 1.766 1.354
-1.399 -6.209 1.696
-1.690 -0.627 9.102
Tl Os K
4 2 2
Direct
0.375 0.124 0.750 Tl
0.876 0.125 0.250 Tl
0.874 0.625 0.250 Tl
0.875 0.126 0.750 Tl
0.000 0.000 0.000 Os
0.750 0.250 0.500 Os
0.250 0.750 0.500 K
0.500 0.500 0.000 K
```

(7)
This record from Alexandria describes a relaxed structure of LiTm4Tl. The functional is GGA-PBE.

Results
Formation enthalpy at 0 K   0.25 eV per atom

Cell and atoms, written as POSCAR:
```
LiTm4Tl
1.0
-0.527 -2.025 -4.525
4.936 -0.647 -0.285
-0.696 -6.683 3.070
Tl Li Tm
1 1 4
Direct
0.501 0.497 0.998 Tl
0.001 0.997 0.498 Li
0.001 0.497 0.742 Tm
0.001 0.497 0.255 Tm
0.501 0.997 0.254 Tm
0.501 0.998 0.742 Tm
```

(8)
This record from Alexandria describes a relaxed structure of Li2CePm2Sb2. The functional is GGA-PBE.

Results
Raw formation energy   -568.5 meV/atom

Cell and atoms, written as POSCAR:
```
Li2CePm2Sb2
1.0
4.792 0.000 0.000
2.396 4.150 0.000
2.396 1.383 9.176
Li Sb Pm Ce
2 2 2 1
Direct
0.595 0.595 0.214 Li
0.405 0.405 0.786 Li
0.265 0.265 0.205 Sb
0.735 0.735 0.795 Sb
0.129 0.129 0.614 Pm
0.871 0.871 0.386 Pm
0.000 0.000 0.000 Ce
```

(9)
This record from Alexandria describes a relaxed structure of K2NdPCO7. The functional is GGA-PBE.

Results
Raw formation energy   -2354.8 meV/atom

Cell and atoms, written as POSCAR:
```
K2NdPCO7
1.0
-2.557 -6.326 2.677
5.322 -1.524 1.484
-1.088 4.309 9.145
C O K Nd P
2 14 4 2 2
Direct
0.250 0.250 0.107 C
0.750 0.750 0.893 C
0.250 0.436 0.579 O
0.250 0.785 0.419 O
0.750 0.714 0.016 O
0.750 0.575 0.809 O
0.250 0.425 0.191 O
0.250 0.286 0.984 O
0.750 0.215 0.581 O
0.750 0.958 0.838 O
0.925 0.191 0.367 O
0.425 0.809 0.633 O
0.075 0.809 0.633 O
0.575 0.191 0.367 O
0.750 0.564 0.421 O
0.250 0.042 0.162 O
0.986 0.738 0.208 K
0.486 0.262 0.792 K
0.514 0.738 0.208 K
0.014 0.262 0.792 K
0.250 0.198 0.388 Nd
0.750 0.802 0.612 Nd
0.750 0.291 0.431 P
0.250 0.709 0.569 P
```

| no. | total moment (μB per cell) | D(E_F) (states/eV per cell) | raw total energy (eV per atom) |
| --- | --- | --- | --- |
| 1 | 0.000 | 3.08 | -3.72 |
| 2 | 0.365 | 4.74 | -6.81 |
| 3 | 2.195 | 6.78 | -1.68 |
| 4 | 0.015 | 8.80 | -2.17 |
| 5 | 0.000 | 4.09 | -4.39 |
| 6 | 0.307 | 9.79 | -3.50 |
| 7 | 0.000 | 5.89 | -3.44 |
| 8 | 1.296 | 10.25 | -4.50 |
| 9 | 0.096 | 0.00 | -7.05 |